DFT (PBE-GGA) results for crystalline KZnRe at its relaxed geometry.

Cell lengths 2.7015, 2.7015, 15.9206 Å; angles 90.00, 90.00, 90.00 degrees
Element x y z (fractional)
K: 0.0000 0.0000 0.0000
K: 0.5000 0.5000 0.5000
Zn: 0.0000 0.0000 0.6882
Zn: 0.5000 0.5000 0.1882
Re: 0.0000 0.0000 0.3181
Re: 0.5000 0.5000 0.8181

## Properties
**Distance to the lowest polymorph of the same formula**: 2.1 kJ per mole of atoms
**Final energy**: -24.4 eV per cell
**SG**: I4mm, No. 107
**Calculated formation energy**: 0.87 eV/atom
**Size of the total moment**: 0.000 μB/atom